Computed, not measured: SmZn2 after structural relaxation at the PBE level of DFT.

Cell: 5.5338 5.5338 5.5338 Å, 60.00 60.00 60.00°
Positions (direct):
Zn1 0.6250 0.6250 0.6250
Zn2 0.1250 0.6250 0.6250
Zn3 0.6250 0.1250 0.6250
Zn4 0.6250 0.6250 0.1250
Sm1 0.2500 0.2500 0.2500
Sm2 0.0000 0.0000 0.0000

Computed properties:
Crystal system: cubic
Total energy in eV/cell: -16.53
Volume in A^3/atom: 20.0